[1]
AlSn5Au4 (PBE, optimized geometry); ΔH_f (0 K) = -0.116 eV per atom; mass density = 9.409 g/cm³; raw total energy = -38.03 eV per formula unit
1.0
-2.927 -2.470 1.694
4.598 -5.253 0.287
1.527 6.386 6.769
Au Sn Al
4 5 1
direct
0.348 0.763 0.696 Au
0.652 0.237 0.304 Au
0.971 0.755 0.943 Au
0.029 0.245 0.057 Au
0.500 0.500 0.000 Sn
0.862 0.056 0.723 Sn
0.138 0.944 0.277 Sn
0.184 0.558 0.368 Sn
0.816 0.442 0.632 Sn
0.500 0.000 0.000 Al

***

[2]
AlSnAu (PBE, optimized geometry); ΔH_f (0 K) = -0.193 eV per atom; mass density = 8.682 g/cm³; raw total energy = -11.60 eV per formula unit
1.0
4.390 -0.102 -0.026
-2.696 6.743 0.195
-0.719 -1.408 4.436
Sn Al Au
2 2 2
direct
0.579 0.632 0.581 Sn
0.279 0.783 0.081 Sn
0.199 0.188 0.034 Al
0.659 0.226 0.629 Al
0.994 0.014 0.457 Au
0.865 0.400 0.206 Au